The following is a DFT calculation (PBE) of TmBe17Ru after structural relaxation.

Lattice parameters (Å, degrees): 5.6215 5.6215 5.6215 83.06 83.06 83.06
Closest atoms and distances in Å follow each position.
Sites, in units of the cell vectors:
Be  0.9071  0.9071  0.9071  4 Be 2.11-2.26
Be  0.5053  0.9956  0.9956  10 Be 2.11-2.30
Be  0.1669  0.6482  0.6482  9 Be 2.18-2.42
Be  0.3408  0.3408  0.8635  9 Be 2.13-2.26
Be  0.9956  0.9956  0.5053  10 Be 2.11-2.30
Be  0.3408  0.8635  0.3408  9 Be 2.13-2.26
Be  0.9956  0.5053  0.9956  10 Be 2.11-2.30
Be  0.7030  0.0080  0.2893  8 Be 2.10-2.28
Be  0.0080  0.2893  0.7030  8 Be 2.10-2.28
Be  0.1014  0.1014  0.1014  7 Be 2.11-2.30
Be  0.6482  0.1669  0.6482  9 Be 2.18-2.42
Be  0.8635  0.3408  0.3408  9 Be 2.13-2.26
Be  0.2893  0.7030  0.0080  8 Be 2.10-2.28
Be  0.7030  0.2893  0.0080  8 Be 2.10-2.28
Be  0.2893  0.0080  0.7030  8 Be 2.10-2.28
Be  0.6482  0.6482  0.1669  9 Be 2.18-2.42
Be  0.0080  0.7030  0.2893  8 Be 2.10-2.28
Tm  0.6586  0.6586  0.6586  19 Be 2.69-2.84
Ru  0.3276  0.3276  0.3276  13 Be 2.45-2.70

Properties
- DOS at the Fermi energy (states/eV per cell) = 6.04
- final energy (eV for the cell shown) = -79.480
- mass density (g cm⁻³) = 4.04
- volume (Å³/cell) = 174.0
- crystal system = trigonal
- ΔH_f (0 K) (meV/atom) = -126